Material: Ta2HgP
Method: DFT, PBE
State: relaxed Values from VASP.

Cell and atoms, written as Quantum ESPRESSO input:
```
&SYSTEM
  ibrav = 0, nat = 8, ntyp = 3
/
ATOMIC_SPECIES
Ta 180.95 Ta.upf
Hg 200.59 Hg.upf
P 30.97 P.upf
CELL_PARAMETERS angstrom
-3.3393 2.1472 -0.2172
-2.1571 -3.3334 0.2105
-2.9150 0.1254 9.6641
ATOMIC_POSITIONS angstrom
Ta -3.0486 0.9329 2.3090
Hg -4.5013 0.8398 4.7218
Ta -6.9718 -0.9070 7.2399
Ta -4.2713 -0.3876 7.2479
Ta -2.5313 -1.7599 2.5181
P -3.9102 -1.9005 4.9357
P -2.7482 -0.5931 -0.0033
Hg 0.0000 0.0000 0.0000
```

Summary:
Magnetization   0.00 μB per formula unit
E_form   2.3 eV/f.u.
Space group   I-42d, No. 122
Calculated density   12.86 g/cm3

---

Material: TaHg3P
Method: DFT, PBE
State: relaxed Values from VASP.

Cell and atoms, written as Quantum ESPRESSO input:
```
&SYSTEM
  ibrav = 0, nat = 5, ntyp = 3
/
ATOMIC_SPECIES
P 30.97 P.upf
Hg 200.59 Hg.upf
Ta 180.95 Ta.upf
CELL_PARAMETERS angstrom
-0.0489 -5.3518 -0.0419
5.3404 -0.0461 -0.3523
0.3519 -0.0450 5.3404
ATOMIC_POSITIONS angstrom
P 2.8217 -2.7215 2.4731
Hg 0.1759 -0.0225 2.6702
Hg 2.6702 -0.0230 -0.1761
Hg -0.0245 -2.6759 -0.0210
Ta 0.0000 0.0000 0.0000
```

Summary:
Magnetization   0.00 μB per formula unit
E_form   6.6 eV/f.u.
Space group   Pm-3m, No. 221
Calculated density   8.81 g/cm3

---

Material: TaHg3P
Method: DFT, PBE
State: relaxed Values from VASP.

Cell and atoms, written as Quantum ESPRESSO input:
```
&SYSTEM
  ibrav = 0, nat = 5, ntyp = 3
/
ATOMIC_SPECIES
Ta 180.95 Ta.upf
Hg 200.59 Hg.upf
P 30.97 P.upf
CELL_PARAMETERS angstrom
-4.3671 2.0251 -1.4389
0.8305 -1.5526 -4.7056
-2.3414 -4.3280 1.0148
ATOMIC_POSITIONS angstrom
Ta -2.9390 -1.9277 -2.5649
Hg -1.1707 -2.1640 0.5074
Hg -2.1835 1.0126 -0.7195
P 0.0000 0.0000 0.0000
Hg 0.4152 -0.7763 -2.3528
```

Summary:
Magnetization   3.22 μB per formula unit
E_form   6.4 eV/f.u.
Space group   Pm-3m, No. 221
Calculated density   10.65 g/cm3

---

Material: Ta2HgP
Method: DFT, PBE
State: relaxed Values from VASP.

Cell and atoms, written as Quantum ESPRESSO input:
```
&SYSTEM
  ibrav = 0, nat = 4, ntyp = 3
/
ATOMIC_SPECIES
Hg 200.59 Hg.upf
Ta 180.95 Ta.upf
P 30.97 P.upf
CELL_PARAMETERS angstrom
-0.2348 1.0218 -3.3246
3.6965 -2.0536 -0.8923
-2.4307 -3.9257 -1.0349
ATOMIC_POSITIONS angstrom
Hg 1.7308 -0.5159 -2.1084
Ta -1.3328 -1.4519 -2.1797
Ta 0.0000 0.0000 0.0000
P 0.6329 -2.9896 -0.9636
```

Summary:
Magnetization   0.00 μB per formula unit
E_form   1.4 eV/f.u.
Space group   Pmmm, No. 47
Calculated density   13.82 g/cm3

---

Material: Tb2HgP
Method: DFT, PBE
State: relaxed Values from VASP.

Cell and atoms, written as Quantum ESPRESSO input:
```
&SYSTEM
  ibrav = 0, nat = 4, ntyp = 3
/
ATOMIC_SPECIES
Hg 200.59 Hg.upf
P 30.97 P.upf
Tb 158.93 Tb.upf
CELL_PARAMETERS angstrom
-0.4632 0.6046 3.8577
-1.4660 -2.8525 2.2751
6.4983 -3.4039 3.3178
ATOMIC_POSITIONS angstrom
Hg 2.2999 -2.8315 4.7280
P 5.1973 -4.8969 7.4036
Tb 0.8342 -1.2984 2.3077
Tb 5.0206 -2.8546 3.0543
```

Summary:
Magnetization   0.00 μB per formula unit
E_form   -3.8 eV/f.u.
Space group   R3m, No. 160
Calculated density   8.82 g/cm3

---

Material: Tb2HgP
Method: DFT, PBE
State: relaxed Values from VASP.

Cell and atoms, written as Quantum ESPRESSO input:
```
&SYSTEM
  ibrav = 0, nat = 4, ntyp = 3
/
ATOMIC_SPECIES
P 30.97 P.upf
Tb 158.93 Tb.upf
Hg 200.59 Hg.upf
CELL_PARAMETERS angstrom
-3.3831 1.7623 0.9770
-2.5238 -1.7942 2.4326
1.4964 3.2964 7.1708
ATOMIC_POSITIONS angstrom
P 0.0000 0.0000 0.0000
Tb -3.1622 2.5875 8.1890
Hg -2.2053 1.6323 5.2902
Tb -1.2483 0.6772 2.3915
```

Summary:
Magnetization   0.00 μB per formula unit
E_form   -4.0 eV/f.u.
Space group   R-3m, No. 166
Calculated density   8.82 g/cm3

---

Material: Tb4HgTe2P
Method: DFT, PBE
State: relaxed Values from VASP.

Cell and atoms, written as Quantum ESPRESSO input:
```
&SYSTEM
  ibrav = 0, nat = 8, ntyp = 4
/
ATOMIC_SPECIES
P 30.97 P.upf
Te 127.60 Te.upf
Tb 158.93 Tb.upf
Hg 200.59 Hg.upf
CELL_PARAMETERS angstrom
-3.5528 2.0717 -0.6360
0.6385 -1.1874 -7.4348
-3.8235 -5.6599 2.9227
ATOMIC_POSITIONS angstrom
P 0.0000 0.0000 0.0000
Te -1.5925 -3.4236 -2.2560
Tb -4.2676 -4.3027 -3.7915
Tb -2.7825 -4.6364 0.4409
Hg -1.4572 0.4422 -4.0354
Tb -0.4025 -2.2108 -4.9530
Tb -2.4703 -0.4729 -1.3566
Te -3.6882 -1.7941 1.1434
```

Summary:
Magnetization   0.00 μB per formula unit
Space group   P2/m, No. 10
Formation energy (no corrections)   -1.176 eV/atom
Calculated density   8.39 g/cm3

---

Material: TcHgP2
Method: DFT, PBE
State: relaxed Values from VASP.

Cell and atoms, written as Quantum ESPRESSO input:
```
&SYSTEM
  ibrav = 0, nat = 4, ntyp = 3
/
ATOMIC_SPECIES
Tc 98.00 Tc.upf
Hg 200.59 Hg.upf
P 30.97 P.upf
CELL_PARAMETERS angstrom
2.9595 0.0000 0.0000
0.0000 2.9595 0.0000
0.0000 0.0000 8.4962
ATOMIC_POSITIONS angstrom
Tc 1.4798 1.4798 2.1241
Hg 1.4798 1.4798 6.3722
P 0.0000 0.0000 0.7271
P 0.0000 0.0000 3.5210
```

Summary:
Magnetization   0.00 μB per formula unit
E_form   -0.3 eV/f.u.
Space group   P4/mmm, No. 123
Calculated density   8.05 g/cm3

---

Material: TcHgP2
Method: DFT, PBE
State: relaxed Values from VASP.

Cell and atoms, written as Quantum ESPRESSO input:
```
&SYSTEM
  ibrav = 0, nat = 4, ntyp = 3
/
ATOMIC_SPECIES
Tc 98.00 Tc.upf
P 30.97 P.upf
Hg 200.59 Hg.upf
CELL_PARAMETERS angstrom
5.1919 0.0000 0.0000
2.4031 4.6023 0.0000
-3.7975 -2.3011 2.6906
ATOMIC_POSITIONS angstrom
Tc 3.7975 2.3011 0.0000
P 1.2016 2.3011 1.3453
Hg 2.5960 0.0000 1.3453
P 0.0000 0.0000 0.0000
```

Summary:
Magnetization   0.14 μB per formula unit
E_form   2.8 eV/f.u.
Space group   I-4m2, No. 119
Calculated density   9.31 g/cm3

---

Material: TcHgP2
Method: DFT, PBE
State: relaxed Values from VASP.

Cell and atoms, written as Quantum ESPRESSO input:
```
&SYSTEM
  ibrav = 0, nat = 4, ntyp = 3
/
ATOMIC_SPECIES
Tc 98.00 Tc.upf
P 30.97 P.upf
Hg 200.59 Hg.upf
CELL_PARAMETERS angstrom
4.6882 -0.0104 0.0000
0.9683 4.5871 0.0000
-2.8283 -2.2884 2.9569
ATOMIC_POSITIONS angstrom
Tc 0.4842 2.2935 1.4785
P 0.0000 0.0000 0.0000
Hg 2.3441 -0.0052 1.4785
P 2.8283 2.2884 0.0000
```

Summary:
Magnetization   0.01 μB per formula unit
E_form   2.4 eV/f.u.
Space group   I4/mmm, No. 139
Calculated density   9.41 g/cm3

---

Material: Tc2HgP
Method: DFT, PBE
State: relaxed Values from VASP.

Cell and atoms, written as Quantum ESPRESSO input:
```
&SYSTEM
  ibrav = 0, nat = 4, ntyp = 3
/
ATOMIC_SPECIES
Hg 200.59 Hg.upf
Tc 98.00 Tc.upf
P 30.97 P.upf
CELL_PARAMETERS angstrom
3.0347 0.0000 0.0000
0.0000 4.4333 0.0000
0.0000 0.0000 4.7904
ATOMIC_POSITIONS angstrom
Hg 1.5173 2.2167 0.0000
Tc 1.5173 0.0000 2.3952
Tc 0.0000 0.0000 0.0000
P 0.0000 2.2167 2.3952
```

Summary:
Magnetization   0.32 μB per formula unit
E_form   2.9 eV/f.u.
Space group   Pmmm, No. 47
Calculated density   11.02 g/cm3

---

Material: TcHgP2
Method: DFT, PBE
State: relaxed Values from VASP.

Cell and atoms, written as Quantum ESPRESSO input:
```
&SYSTEM
  ibrav = 0, nat = 4, ntyp = 3
/
ATOMIC_SPECIES
Tc 98.00 Tc.upf
P 30.97 P.upf
Hg 200.59 Hg.upf
CELL_PARAMETERS angstrom
3.1024 0.0000 0.0000
0.0000 3.1017 0.0000
0.0000 0.0000 7.8103
ATOMIC_POSITIONS angstrom
Tc 0.0000 0.0000 2.3380
P 0.0000 0.0000 0.1199
Hg 1.5512 1.5509 5.9325
P 1.5512 1.5509 3.3249
```

Summary:
Magnetization   0.00 μB per formula unit
E_form   0.4 eV/f.u.
Space group   P4mm, No. 99
Calculated density   7.97 g/cm3

---

Material: TcHgP2
Method: DFT, PBE
State: relaxed Values from VASP.

Cell and atoms, written as Quantum ESPRESSO input:
```
&SYSTEM
  ibrav = 0, nat = 4, ntyp = 3
/
ATOMIC_SPECIES
Tc 98.00 Tc.upf
P 30.97 P.upf
Hg 200.59 Hg.upf
CELL_PARAMETERS angstrom
3.2420 0.0000 0.0000
0.0000 4.4323 0.0000
0.0000 0.0000 4.4323
ATOMIC_POSITIONS angstrom
Tc 1.6210 2.2162 0.0000
P 0.0000 0.0000 0.0000
P 0.0000 2.2162 2.2162
Hg 1.6210 0.0000 2.2162
```

Summary:
Magnetization   0.00 μB per formula unit
E_form   2.6 eV/f.u.
Space group   P4/mmm, No. 123
Calculated density   9.40 g/cm3

---

Material: Tc2HgP
Method: DFT, PBE
State: relaxed Values from VASP.

Cell and atoms, written as Quantum ESPRESSO input:
```
&SYSTEM
  ibrav = 0, nat = 4, ntyp = 3
/
ATOMIC_SPECIES
Tc 98.00 Tc.upf
P 30.97 P.upf
Hg 200.59 Hg.upf
CELL_PARAMETERS angstrom
-1.3502 -2.8032 -1.7844
1.9246 0.5043 -2.2485
4.7298 -3.3608 1.7007
ATOMIC_POSITIONS angstrom
Tc 3.0558 -0.5827 -1.3969
P 2.6521 -2.8299 -1.1661
Tc 3.5985 -2.2738 0.8490
Hg 0.2872 -1.1495 -2.0165
```

Summary:
Magnetization   0.00 μB per formula unit
E_form   0.6 eV/f.u.
Space group   P2/m, No. 10
Calculated density   11.12 g/cm3

---

Material: TcHgP2
Method: DFT, PBE
State: relaxed Values from VASP.

Cell and atoms, written as Quantum ESPRESSO input:
```
&SYSTEM
  ibrav = 0, nat = 4, ntyp = 3
/
ATOMIC_SPECIES
Hg 200.59 Hg.upf
Tc 98.00 Tc.upf
P 30.97 P.upf
CELL_PARAMETERS angstrom
-2.1591 -1.2963 2.1595
4.4047 0.7892 4.8775
1.7706 3.4106 3.8175
ATOMIC_POSITIONS angstrom
Hg 0.8853 1.7053 1.9088
Tc 2.0081 1.4517 5.4273
P 1.1228 -0.2536 3.5185
P 0.0000 0.0000 0.0000
```

Summary:
Magnetization   0.00 μB per formula unit
E_form   2.1 eV/f.u.
Space group   P2/m, No. 10
Calculated density   8.62 g/cm3

---

Material: Tc2HgP
Method: DFT, PBE
State: relaxed Values from VASP.

Cell and atoms, written as Quantum ESPRESSO input:
```
&SYSTEM
  ibrav = 0, nat = 4, ntyp = 3
/
ATOMIC_SPECIES
Hg 200.59 Hg.upf
P 30.97 P.upf
Tc 98.00 Tc.upf
CELL_PARAMETERS angstrom
-2.9142 0.5368 -0.0642
0.0135 -0.2795 -2.9507
-1.2779 -6.8608 0.6441
ATOMIC_POSITIONS angstrom
Hg -1.4503 0.1286 -1.5074
P -2.0893 -3.3018 -1.1854
Tc -0.8782 -4.7147 0.4426
Tc -0.3997 -2.1460 0.2015
```

Summary:
Magnetization   0.00 μB per formula unit
E_form   0.0 eV/f.u.
Space group   P4/mmm, No. 123
Calculated density   11.53 g/cm3

---

Material: TcHgP2
Method: DFT, PBE
State: relaxed Values from VASP.

Cell and atoms, written as Quantum ESPRESSO input:
```
&SYSTEM
  ibrav = 0, nat = 8, ntyp = 3
/
ATOMIC_SPECIES
Hg 200.59 Hg.upf
Tc 98.00 Tc.upf
P 30.97 P.upf
CELL_PARAMETERS angstrom
-1.6207 -3.8396 -4.0116
-1.1174 -3.8680 4.1536
-6.3961 -2.0621 0.3871
ATOMIC_POSITIONS angstrom
Hg 0.0000 0.0000 0.0000
Tc -1.3691 -3.8538 0.0710
Tc -4.4413 -4.8919 2.3058
P -2.5916 -3.6300 1.9646
P -5.8870 -4.6555 0.5783
Hg -4.6930 -4.8777 -1.7768
P -7.1298 -8.0721 0.1797
P -2.6601 -3.1817 -1.6646
```

Summary:
Magnetization   0.00 μB per formula unit
E_form   0.6 eV/f.u.
Space group   I-42d, No. 122
Calculated density   6.69 g/cm3

---

Material: Tc2HgP
Method: DFT, PBE
State: relaxed Values from VASP.

Cell and atoms, written as Quantum ESPRESSO input:
```
&SYSTEM
  ibrav = 0, nat = 4, ntyp = 3
/
ATOMIC_SPECIES
Tc 98.00 Tc.upf
P 30.97 P.upf
Hg 200.59 Hg.upf
CELL_PARAMETERS angstrom
3.0175 0.0000 0.0000
0.0000 3.0175 0.0000
0.0000 0.0000 7.1363
ATOMIC_POSITIONS angstrom
Tc 0.0000 0.0000 6.9808
Tc 1.5088 1.5088 1.5227
P 1.5088 1.5088 5.7889
Hg 0.0000 0.0000 3.5483
```

Summary:
Magnetization   0.00 μB per formula unit
E_form   0.6 eV/f.u.
Space group   P4mm, No. 99
Calculated density   10.93 g/cm3

---

Material: Tc2HgP
Method: DFT, PBE
State: relaxed Values from VASP.

Cell and atoms, written as Quantum ESPRESSO input:
```
&SYSTEM
  ibrav = 0, nat = 4, ntyp = 3
/
ATOMIC_SPECIES
Hg 200.59 Hg.upf
Tc 98.00 Tc.upf
P 30.97 P.upf
CELL_PARAMETERS angstrom
-1.4831 1.6197 7.0244
1.4831 -1.6197 7.0244
1.4831 1.6197 -7.0244
ATOMIC_POSITIONS angstrom
Hg 0.0000 0.0000 6.2338
Tc 1.4831 0.0000 3.7403
P 0.0000 1.6197 2.8547
Tc 0.0000 0.0000 1.2200
```

Summary:
Magnetization   0.69 μB per formula unit
E_form   0.3 eV/f.u.
Space group   Imm2, No. 44
Calculated density   10.52 g/cm3

---

Material: TcHgP2
Method: DFT, PBE
State: relaxed Values from VASP.

Cell and atoms, written as Quantum ESPRESSO input:
```
&SYSTEM
  ibrav = 0, nat = 4, ntyp = 3
/
ATOMIC_SPECIES
P 30.97 P.upf
Hg 200.59 Hg.upf
Tc 98.00 Tc.upf
CELL_PARAMETERS angstrom
6.6723 0.0029 0.0071
-2.5626 3.6949 -0.0244
1.5470 1.0783 2.5886
ATOMIC_POSITIONS angstrom
P 4.1096 0.5406 1.2979
P 0.0000 0.0000 0.0000
Hg 2.0548 1.8489 -0.0087
Tc -0.5078 2.3866 1.2821
```

Summary:
Magnetization   0.00 μB per formula unit
E_form   2.6 eV/f.u.
Space group   C2/m, No. 12
Calculated density   9.36 g/cm3